The following is a PBE-GGA calculation of a geometry-optimized TaTl2Cr structure, from Alexandria. Values from VASP.

Results
- DFT formation energy (meV/atom) = 517.8
- symmetry = P4mm (99)
- DFT total energy (eV/atom) = -6.03

The structure in Quantum ESPRESSO input format:
```
&SYSTEM
  ibrav = 0, nat = 4, ntyp = 3
/
ATOMIC_SPECIES
Ta 180.95 Ta.upf
Tl 204.38 Tl.upf
Cr 52.00 Cr.upf
ATOMIC_POSITIONS crystal
Ta 0.000 0.000 0.000
Tl 0.000 0.000 0.612
Tl 0.500 0.500 0.282
Cr 0.500 0.500 0.857
CELL_PARAMETERS angstrom
3.204 0.000 0.000
0.000 3.204 0.000
0.000 0.000 8.361
```

---

The following is a PBE-GGA calculation of a geometry-optimized Na4SiTe4 structure, from Alexandria. Values from VASP.

Results
- symmetry = I-42m (121)
- DFT total energy (eV/atom) = -3.21
- formation energy from raw total energies (eV/atom) = -0.62

The structure in Quantum ESPRESSO input format:
```
&SYSTEM
  ibrav = 0, nat = 9, ntyp = 3
/
ATOMIC_SPECIES
Na 22.99 Na.upf
Si 28.09 Si.upf
Te 127.60 Te.upf
ATOMIC_POSITIONS crystal
Na 0.000 0.500 0.500
Na 0.178 0.178 0.000
Na 0.500 0.000 0.500
Na 0.822 0.822 0.000
Si 0.500 0.500 0.000
Te 0.177 0.177 0.612
Te 0.434 0.823 0.000
Te 0.566 0.566 0.388
Te 0.823 0.434 0.000
CELL_PARAMETERS angstrom
-3.712 3.712 6.012
3.712 -3.712 6.012
3.712 3.712 -6.012
```

---

The following is a PBE-GGA calculation of a geometry-optimized AlOsAu2 structure, from Alexandria. Values from VASP.

Results
- DFT formation energy (meV/atom) = 244.0
- symmetry = F-43m (216)
- DFT total energy (eV/atom) = -5.14

The structure in Quantum ESPRESSO input format:
```
&SYSTEM
  ibrav = 0, nat = 4, ntyp = 3
/
ATOMIC_SPECIES
Al 26.98 Al.upf
Os 190.23 Os.upf
Au 196.97 Au.upf
ATOMIC_POSITIONS crystal
Al 0.000 0.000 0.000
Os 0.750 0.750 0.750
Au 0.250 0.250 0.250
Au 0.500 0.500 0.500
CELL_PARAMETERS angstrom
0.000 3.186 3.186
3.186 0.000 3.186
3.186 3.186 0.000
```

---

The following is a PBE-GGA calculation of a geometry-optimized CsUCuTe3 structure, from Alexandria. Values from VASP.

Results
- symmetry = P2_1/m (11)
- DFT total energy (eV/atom) = -4.98
- formation energy from raw total energies (eV/atom) = -0.70

The structure in Quantum ESPRESSO input format:
```
&SYSTEM
  ibrav = 0, nat = 12, ntyp = 4
/
ATOMIC_SPECIES
Cs 132.91 Cs.upf
U 238.03 U.upf
Cu 63.55 Cu.upf
Te 127.60 Te.upf
ATOMIC_POSITIONS crystal
Cs 0.217 0.250 0.256
Cs 0.783 0.750 0.744
U 0.316 0.750 0.842
U 0.684 0.250 0.158
Cu 0.089 0.250 0.605
Cu 0.911 0.750 0.395
Te 0.120 0.250 0.860
Te 0.194 0.750 0.540
Te 0.472 0.750 0.156
Te 0.528 0.250 0.844
Te 0.806 0.250 0.460
Te 0.880 0.750 0.140
CELL_PARAMETERS angstrom
10.351 0.000 0.000
0.000 4.399 0.000
-4.251 0.000 9.875
```

---

The following is a PBE-GGA calculation of a geometry-optimized SrCdW2 structure, from Alexandria. Values from VASP.

Results
- DFT formation energy (meV/atom) = 1112.5
- symmetry = P4/mmm (123)
- DFT total energy (eV/atom) = -6.01

The structure in Quantum ESPRESSO input format:
```
&SYSTEM
  ibrav = 0, nat = 4, ntyp = 3
/
ATOMIC_SPECIES
Sr 87.62 Sr.upf
Cd 112.41 Cd.upf
W 183.84 W.upf
ATOMIC_POSITIONS crystal
Sr 0.000 0.000 0.000
Cd 0.000 0.000 0.500
W 0.500 0.500 0.337
W 0.500 0.500 0.663
CELL_PARAMETERS angstrom
3.690 0.000 0.000
0.000 3.690 0.000
0.000 0.000 7.047
```

---

The following is a PBE-GGA calculation of a geometry-optimized Ni15Ge4Pt structure, from Alexandria. Values from VASP.

Results
- DFT formation energy (meV/atom) = -224.2
- symmetry = P4/mmm (123)
- DFT total energy (eV/atom) = -5.79

The structure in Quantum ESPRESSO input format:
```
&SYSTEM
  ibrav = 0, nat = 20, ntyp = 3
/
ATOMIC_SPECIES
Ni 58.69 Ni.upf
Ge 72.64 Ge.upf
Pt 195.08 Pt.upf
ATOMIC_POSITIONS crystal
Ni 0.000 0.000 0.000
Ni 0.000 0.000 0.203
Ni 0.000 0.000 0.401
Ni 0.000 0.000 0.599
Ni 0.000 0.000 0.797
Ni 0.000 0.500 0.104
Ni 0.000 0.500 0.301
Ni 0.000 0.500 0.500
Ni 0.000 0.500 0.699
Ni 0.000 0.500 0.896
Ni 0.500 0.000 0.104
Ni 0.500 0.000 0.301
Ni 0.500 0.000 0.500
Ni 0.500 0.000 0.699
Ni 0.500 0.000 0.896
Ge 0.500 0.500 0.202
Ge 0.500 0.500 0.401
Ge 0.500 0.500 0.599
Ge 0.500 0.500 0.798
Pt 0.500 0.500 0.000
CELL_PARAMETERS angstrom
3.595 0.000 0.000
0.000 3.595 0.000
0.000 0.000 17.840
```